Material: VPO5
Method: DFT, PBE with a Hubbard U
State: optimized geometry

a = 10.056 Å, b = 8.778 Å, c = 6.937 Å
α = 78.61°, β = 58.84°, γ = 42.55°
Sites, in units of the cell vectors:
V1 0.879 0.385 0.401
V2 0.335 0.401 0.385
V3 0.865 0.371 0.915
V4 0.849 0.915 0.371
P1 0.028 0.540 0.970
P2 0.710 0.222 0.788
P3 0.462 0.970 0.540
P4 0.280 0.788 0.222
O1 0.610 0.713 0.434
O2 0.667 0.174 0.334
O3 0.311 0.639 0.397
O4 0.816 0.007 0.640
O5 0.213 0.105 0.755
O6 0.427 0.116 0.363
O7 0.076 0.583 0.425
O8 0.825 0.334 0.174
O9 0.916 0.425 0.583
O10 0.145 0.037 0.323
O11 0.243 0.434 0.713
O12 0.495 0.323 0.037
O13 0.927 0.755 0.105
O14 0.134 0.823 0.156
O15 0.094 0.363 0.116
O16 0.887 0.156 0.823
O17 0.853 0.596 0.939
O18 0.654 0.397 0.639
O19 0.537 0.640 0.007
O20 0.611 0.939 0.596

Calculated values
E   -0.53566 Ry per atom
D(E_F)   0.00 states/eV/f.u.
ΔE to the lowest computed polymorph   92 meV per atom
Calculated density   3.20 g/cm³